*A*
# Zr6FePd2 PBE-GGA relaxed
data_Zr6FePd2
_symmetry_space_group_name_H-M 'P 1 21/c 1'
_symmetry_Int_Tables_number 14
_symmetry_space_group_name_Hall '-P 2ybc'
_cell_length_a 5.510
_cell_length_b 7.219
_cell_length_c 10.607
_cell_angle_alpha 90.00
_cell_angle_beta 120.08
_cell_angle_gamma 90.00
loop_
_atom_site_label
_atom_site_fract_x
_atom_site_fract_y
_atom_site_fract_z
Zr1 0.097 0.048 0.252
Zr2 0.188 0.714 0.051
Zr3 0.382 0.157 0.036
Fe1 0.500 0.000 0.500
Pd1 0.355 0.096 0.724
# Magnetization, μB/f.u.: 0.00

=====

*B*
# Zr6FePd2 PBE-GGA relaxed
data_Zr6FePd2
_symmetry_space_group_name_H-M 'A m m 2'
_symmetry_Int_Tables_number 38
_symmetry_space_group_name_Hall 'A 2 -2'
_cell_length_a 3.318
_cell_length_b 13.647
_cell_length_c 7.868
_cell_angle_alpha 90.00
_cell_angle_beta 90.00
_cell_angle_gamma 90.00
loop_
_atom_site_label
_atom_site_fract_x
_atom_site_fract_y
_atom_site_fract_z
Zr1 0.000 0.000 0.000
Zr2 0.000 0.122 0.634
Zr3 0.500 0.000 0.352
Zr4 0.500 0.201 0.958
Fe1 0.500 0.000 0.755
Pd1 0.000 0.167 0.256
# Magnetization, μB/f.u.: 0.00

=====

Most stable structure - *B*; separation to the second - 0.064 eV/atom.

=====

*A*
# ZrFePd3 PBE-GGA relaxed
data_ZrFePd3
_symmetry_space_group_name_H-M 'P m -3 m'
_symmetry_Int_Tables_number 221
_symmetry_space_group_name_Hall '-P 4 2 3'
_cell_length_a 4.860
_cell_length_b 4.860
_cell_length_c 4.860
_cell_angle_alpha 90.00
_cell_angle_beta 90.00
_cell_angle_gamma 90.00
loop_
_atom_site_label
_atom_site_fract_x
_atom_site_fract_y
_atom_site_fract_z
Zr1 0.000 0.000 0.000
Fe1 0.500 0.500 0.500
Pd1 0.000 0.000 0.500
# Magnetization, μB/f.u.: 3.11

=====

*B*
# ZrFePd3 PBE-GGA relaxed
data_ZrFePd3
_symmetry_space_group_name_H-M 'P m -3 m'
_symmetry_Int_Tables_number 221
_symmetry_space_group_name_Hall '-P 4 2 3'
_cell_length_a 4.578
_cell_length_b 4.578
_cell_length_c 4.578
_cell_angle_alpha 90.00
_cell_angle_beta 90.00
_cell_angle_gamma 90.00
loop_
_atom_site_label
_atom_site_fract_x
_atom_site_fract_y
_atom_site_fract_z
Zr1 0.000 0.000 0.000
Fe1 0.500 0.500 0.500
Pd1 0.000 0.500 0.500
# Magnetization, μB/f.u.: 2.86

=====

Most stable structure - *B*; separation to the second - 0.575 eV/atom.

=====

*A*
# PmFe6 PBE-GGA relaxed
data_PmFe6
_symmetry_space_group_name_H-M 'P n m a'
_symmetry_Int_Tables_number 62
_symmetry_space_group_name_Hall '-P 2ac 2n'
_cell_length_a 7.968
_cell_length_b 4.913
_cell_length_c 10.182
_cell_angle_alpha 90.00
_cell_angle_beta 90.00
_cell_angle_gamma 90.00
loop_
_atom_site_label
_atom_site_fract_x
_atom_site_fract_y
_atom_site_fract_z
Pm1 0.240 0.250 0.062
Fe1 0.051 0.750 0.098
Fe2 0.064 0.006 0.308
Fe3 0.095 0.250 0.515
Fe4 0.148 0.750 0.858
Fe5 0.190 0.250 0.752
# Magnetization, μB/f.u.: 13.17

=====

*B*
# PmFe6 PBE-GGA relaxed
data_PmFe6
_symmetry_space_group_name_H-M 'I m -3 m'
_symmetry_Int_Tables_number 229
_symmetry_space_group_name_Hall '-I 4 2 3'
_cell_length_a 6.036
_cell_length_b 6.036
_cell_length_c 6.036
_cell_angle_alpha 90.00
_cell_angle_beta 90.00
_cell_angle_gamma 90.00
loop_
_atom_site_label
_atom_site_fract_x
_atom_site_fract_y
_atom_site_fract_z
Pm1 0.000 0.000 0.000
Fe1 0.000 0.250 0.500
# Magnetization, μB/f.u.: 0.00

=====

Most stable structure - *A*; separation to the second - 0.463 eV/atom.

=====

*A*
# PmPu2Fe PBE-GGA relaxed
data_PmPu2Fe
_symmetry_space_group_name_H-M 'R -3 m'
_symmetry_Int_Tables_number 166
_symmetry_space_group_name_Hall '-R 3 2"'
_cell_length_a 4.2872
_cell_length_b 4.2872
_cell_length_c 16.5108
_cell_angle_alpha 90.00
_cell_angle_beta 90.00
_cell_angle_gamma 120.00
loop_
_atom_site_label
_atom_site_fract_x
_atom_site_fract_y
_atom_site_fract_z
Pm1 0.0000 0.0000 0.0000
Pu1 0.0000 0.0000 0.1783
Fe1 0.0000 0.0000 0.5000
# Magnetization, μB/f.u.: 0.01

=====

*B*
# PmPu2Fe PBE-GGA relaxed
data_PmPu2Fe
_symmetry_space_group_name_H-M 'P 4/m m m'
_symmetry_Int_Tables_number 123
_symmetry_space_group_name_Hall '-P 4 2'
_cell_length_a 3.341
_cell_length_b 3.341
_cell_length_c 8.714
_cell_angle_alpha 90.00
_cell_angle_beta 90.00
_cell_angle_gamma 90.00
loop_
_atom_site_label
_atom_site_fract_x
_atom_site_fract_y
_atom_site_fract_z
Pm1 0.000 0.000 0.000
Pu1 0.500 0.500 0.313
Fe1 0.000 0.000 0.500
# Magnetization, μB/f.u.: 9.37

=====

Most stable structure - *B*; separation to the second - 0.407 eV/atom.

=====

*A*
# Pm2FeSb PBE-GGA relaxed
data_Pm2FeSb
_symmetry_space_group_name_H-M 'R -3 m'
_symmetry_Int_Tables_number 166
_symmetry_space_group_name_Hall '-R 3 2"'
_cell_length_a 3.6070
_cell_length_b 3.6070
_cell_length_c 30.2967
_cell_angle_alpha 90.00
_cell_angle_beta 90.00
_cell_angle_gamma 120.00
loop_
_atom_site_label
_atom_site_fract_x
_atom_site_fract_y
_atom_site_fract_z
Pm1 0.0000 0.0000 0.1061
Fe1 0.0000 0.0000 0.5000
Sb1 0.0000 0.0000 0.0000
# Magnetization, μB/f.u.: 0.89

=====

*B*
# Pm2FeSb PBE-GGA relaxed
data_Pm2FeSb
_symmetry_space_group_name_H-M 'F m -3 m'
_symmetry_Int_Tables_number 225
_symmetry_space_group_name_Hall '-F 4 2 3'
_cell_length_a 7.415
_cell_length_b 7.415
_cell_length_c 7.415
_cell_angle_alpha 90.00
_cell_angle_beta 90.00
_cell_angle_gamma 90.00
loop_
_atom_site_label
_atom_site_fract_x
_atom_site_fract_y
_atom_site_fract_z
Pm1 0.250 0.250 0.250
Fe1 0.000 0.000 0.000
Sb1 0.000 0.000 0.500
# Magnetization, μB/f.u.: 1.38

=====

*C*
# Pm2FeSb PBE-GGA relaxed
data_Pm2FeSb
_symmetry_space_group_name_H-M 'P 4/m m m'
_symmetry_Int_Tables_number 123
_symmetry_space_group_name_Hall '-P 4 2'
_cell_length_a 5.060
_cell_length_b 5.060
_cell_length_c 3.993
_cell_angle_alpha 90.00
_cell_angle_beta 90.00
_cell_angle_gamma 90.00
loop_
_atom_site_label
_atom_site_fract_x
_atom_site_fract_y
_atom_site_fract_z
Pm1 0.000 0.500 0.000
Fe1 0.000 0.000 0.500
Sb1 0.500 0.500 0.500
# Magnetization, μB/f.u.: 1.55

=====

Most stable structure - *C*; separation to the second - 0.039 eV/atom.

=====

*A*
# PmFeSb PBE-GGA relaxed
data_PmFeSb
_symmetry_space_group_name_H-M 'P 1 21/m 1'
_symmetry_Int_Tables_number 11
_symmetry_space_group_name_Hall '-P 2yb'
_cell_length_a 4.474
_cell_length_b 3.994
_cell_length_c 7.932
_cell_angle_alpha 90.00
_cell_angle_beta 100.20
_cell_angle_gamma 90.00
loop_
_atom_site_label
_atom_site_fract_x
_atom_site_fract_y
_atom_site_fract_z
Pm1 0.083 0.250 0.202
Fe1 0.483 0.250 0.941
Sb1 0.354 0.250 0.618
# Magnetization, μB/f.u.: 0.00

=====

*B*
# PmFeSb PBE-GGA relaxed
data_PmFeSb
_symmetry_space_group_name_H-M 'I 4 m m'
_symmetry_Int_Tables_number 107
_symmetry_space_group_name_Hall 'I 4 -2'
_cell_length_a 3.441
_cell_length_b 3.441
_cell_length_c 11.079
_cell_angle_alpha 90.00
_cell_angle_beta 90.00
_cell_angle_gamma 90.00
loop_
_atom_site_label
_atom_site_fract_x
_atom_site_fract_y
_atom_site_fract_z
Pm1 0.000 0.000 0.000
Fe1 0.000 0.000 0.319
Sb1 0.000 0.000 0.713
# Magnetization, μB/f.u.: 1.79

=====

Most stable structure - *A*; separation to the second - 0.146 eV/atom.

=====

*A*
# PmFeSb2 PBE-GGA relaxed
data_PmFeSb2
_symmetry_space_group_name_H-M 'P 4/m m m'
_symmetry_Int_Tables_number 123
_symmetry_space_group_name_Hall '-P 4 2'
_cell_length_a 4.739
_cell_length_b 4.739
_cell_length_c 4.236
_cell_angle_alpha 90.00
_cell_angle_beta 90.00
_cell_angle_gamma 90.00
loop_
_atom_site_label
_atom_site_fract_x
_atom_site_fract_y
_atom_site_fract_z
Pm1 0.000 0.000 0.000
Fe1 0.500 0.500 0.000
Sb1 0.000 0.500 0.500
# Magnetization, μB/f.u.: 2.98

=====

*B*
# PmFeSb2 PBE-GGA relaxed
data_PmFeSb2
_symmetry_space_group_name_H-M 'R -3 m'
_symmetry_Int_Tables_number 166
_symmetry_space_group_name_Hall '-R 3 2"'
_cell_length_a 3.4205
_cell_length_b 3.4205
_cell_length_c 31.0390
_cell_angle_alpha 90.00
_cell_angle_beta 90.00
_cell_angle_gamma 120.00
loop_
_atom_site_label
_atom_site_fract_x
_atom_site_fract_y
_atom_site_fract_z
Pm1 0.0000 0.0000 0.0000
Fe1 0.0000 0.0000 0.5000
Sb1 0.0000 0.0000 0.4180
# Magnetization, μB/f.u.: 2.86

=====

Most stable structure - *A*; separation to the second - 0.391 eV/atom.

=====

*A*
# PmFeSi2 PBE-GGA relaxed
data_PmFeSi2
_symmetry_space_group_name_H-M 'R -3 m'
_symmetry_Int_Tables_number 166
_symmetry_space_group_name_Hall '-R 3 2"'
_cell_length_a 3.9214
_cell_length_b 3.9214
_cell_length_c 15.5239
_cell_angle_alpha 90.00
_cell_angle_beta 90.00
_cell_angle_gamma 120.00
loop_
_atom_site_label
_atom_site_fract_x
_atom_site_fract_y
_atom_site_fract_z
Pm1 0.0000 0.0000 0.0000
Fe1 0.0000 0.0000 0.5000
Si1 0.0000 0.0000 0.2054
# Magnetization, μB/f.u.: 0.00

=====

*B*
# PmFeSi2 PBE-GGA relaxed
data_PmFeSi2
_symmetry_space_group_name_H-M 'P n m a'
_symmetry_Int_Tables_number 62
_symmetry_space_group_name_Hall '-P 2ac 2n'
_cell_length_a 6.871
_cell_length_b 4.002
_cell_length_c 9.919
_cell_angle_alpha 90.00
_cell_angle_beta 90.00
_cell_angle_gamma 90.00
loop_
_atom_site_label
_atom_site_fract_x
_atom_site_fract_y
_atom_site_fract_z
Pm1 0.157 0.250 0.122
Fe1 0.012 0.750 0.389
Si1 0.160 0.250 0.812
Si2 0.174 0.250 0.423
# Magnetization, μB/f.u.: 0.00

=====

Most stable structure - *B*; separation to the second - 0.019 eV/atom.

=====

*A*
# PmSmFe PBE-GGA relaxed
data_PmSmFe
_symmetry_space_group_name_H-M 'I 4 m m'
_symmetry_Int_Tables_number 107
_symmetry_space_group_name_Hall 'I 4 -2'
_cell_length_a 3.461
_cell_length_b 3.461
_cell_length_c 13.115
_cell_angle_alpha 90.00
_cell_angle_beta 90.00
_cell_angle_gamma 90.00
loop_
_atom_site_label
_atom_site_fract_x
_atom_site_fract_y
_atom_site_fract_z
Pm1 0.000 0.000 0.000
Sm1 0.000 0.000 0.747
Fe1 0.000 0.000 0.372
# Magnetization, μB/f.u.: 1.03

=====

*B*
# PmSmFe PBE-GGA relaxed
data_PmSmFe
_symmetry_space_group_name_H-M 'C m c e'
_symmetry_Int_Tables_number 64
_symmetry_space_group_name_Hall '-C 2ac 2'
_cell_length_a 7.052
_cell_length_b 12.068
_cell_length_c 7.523
_cell_angle_alpha 90.00
_cell_angle_beta 90.00
_cell_angle_gamma 90.00
loop_
_atom_site_label
_atom_site_fract_x
_atom_site_fract_y
_atom_site_fract_z
Pm1 0.000 0.198 0.112
Sm1 0.250 0.043 0.750
Fe1 0.000 0.091 0.456
# Magnetization, μB/f.u.: 0.88

=====

Most stable structure - *B*; separation to the second - 0.013 eV/atom.

=====

*A*
# Pm3FeTe PBE-GGA relaxed
data_Pm3FeTe
_symmetry_space_group_name_H-M 'P m -3 m'
_symmetry_Int_Tables_number 221
_symmetry_space_group_name_Hall '-P 4 2 3'
_cell_length_a 5.221
_cell_length_b 5.221
_cell_length_c 5.221
_cell_angle_alpha 90.00
_cell_angle_beta 90.00
_cell_angle_gamma 90.00
loop_
_atom_site_label
_atom_site_fract_x
_atom_site_fract_y
_atom_site_fract_z
Pm1 0.000 0.000 0.500
Fe1 0.000 0.000 0.000
Te1 0.500 0.500 0.500
# Magnetization, μB/f.u.: 0.00

=====

*B*
# Pm3FeTe PBE-GGA relaxed
data_Pm3FeTe
_symmetry_space_group_name_H-M 'P 1 21/m 1'
_symmetry_Int_Tables_number 11
_symmetry_space_group_name_Hall '-P 2yb'
_cell_length_a 8.377
_cell_length_b 4.033
_cell_length_c 8.718
_cell_angle_alpha 90.00
_cell_angle_beta 106.39
_cell_angle_gamma 90.00
loop_
_atom_site_label
_atom_site_fract_x
_atom_site_fract_y
_atom_site_fract_z
Pm1 0.076 0.250 0.247
Pm2 0.306 0.250 0.930
Pm3 0.321 0.750 0.588
Fe1 0.048 0.250 0.563
Te1 0.384 0.750 0.232
# Magnetization, μB/f.u.: 1.13

=====

Most stable structure - *B*; separation to the second - 0.259 eV/atom.

=====

*A*
# PmTh2Fe PBE-GGA relaxed
data_PmTh2Fe
_symmetry_space_group_name_H-M 'R -3 m'
_symmetry_Int_Tables_number 166
_symmetry_space_group_name_Hall '-R 3 2"'
_cell_length_a 3.7610
_cell_length_b 3.7610
_cell_length_c 30.1438
_cell_angle_alpha 90.00
_cell_angle_beta 90.00
_cell_angle_gamma 120.00
loop_
_atom_site_label
_atom_site_fract_x
_atom_site_fract_y
_atom_site_fract_z
Pm1 0.0000 0.0000 0.0000
Th1 0.0000 0.0000 0.1151
Fe1 0.0000 0.0000 0.5000
# Magnetization, μB/f.u.: 0.00

=====

*B*
# PmTh2Fe PBE-GGA relaxed
data_PmTh2Fe
_symmetry_space_group_name_H-M 'R 3 m'
_symmetry_Int_Tables_number 160
_symmetry_space_group_name_Hall 'R 3 -2"'
_cell_length_a 3.8745
_cell_length_b 3.8745
_cell_length_c 26.7918
_cell_angle_alpha 90.00
_cell_angle_beta 90.00
_cell_angle_gamma 120.00
loop_
_atom_site_label
_atom_site_fract_x
_atom_site_fract_y
_atom_site_fract_z
Pm1 0.0000 0.0000 0.0000
Th1 0.0000 0.0000 0.2232
Th2 0.0000 0.0000 0.4436
Fe1 0.0000 0.0000 0.8350
# Magnetization, μB/f.u.: 0.00

=====

*C*
# PmTh2Fe PBE-GGA relaxed
data_PmTh2Fe
_symmetry_space_group_name_H-M 'P 4/m m m'
_symmetry_Int_Tables_number 123
_symmetry_space_group_name_Hall '-P 4 2'
_cell_length_a 3.515
_cell_length_b 3.515
_cell_length_c 8.800
_cell_angle_alpha 90.00
_cell_angle_beta 90.00
_cell_angle_gamma 90.00
loop_
_atom_site_label
_atom_site_fract_x
_atom_site_fract_y
_atom_site_fract_z
Pm1 0.000 0.000 0.000
Th1 0.500 0.500 0.307
Fe1 0.000 0.000 0.500
# Magnetization, μB/f.u.: 1.81

=====

Most stable structure - *B*; separation to the second - 0.074 eV/atom.

=====

*A*
# PmTmFe PBE-GGA relaxed
data_PmTmFe
_symmetry_space_group_name_H-M 'C m c e'
_symmetry_Int_Tables_number 64
_symmetry_space_group_name_Hall '-C 2ac 2'
_cell_length_a 6.875
_cell_length_b 12.051
_cell_length_c 7.302
_cell_angle_alpha 90.00
_cell_angle_beta 90.00
_cell_angle_gamma 90.00
loop_
_atom_site_label
_atom_site_fract_x
_atom_site_fract_y
_atom_site_fract_z
Pm1 0.000 0.198 0.113
Tm1 0.250 0.041 0.750
Fe1 0.000 0.090 0.458
# Magnetization, μB/f.u.: 0.79

=====

*B*
# PmTmFe PBE-GGA relaxed
data_PmTmFe
_symmetry_space_group_name_H-M 'I 4 m m'
_symmetry_Int_Tables_number 107
_symmetry_space_group_name_Hall 'I 4 -2'
_cell_length_a 3.342
_cell_length_b 3.342
_cell_length_c 12.933
_cell_angle_alpha 90.00
_cell_angle_beta 90.00
_cell_angle_gamma 90.00
loop_
_atom_site_label
_atom_site_fract_x
_atom_site_fract_y
_atom_site_fract_z
Pm1 0.000 0.000 0.000
Tm1 0.000 0.000 0.749
Fe1 0.000 0.000 0.368
# Magnetization, μB/f.u.: 0.00

=====

Most stable structure - *A*; separation to the second - 0.046 eV/atom.